First-principles (PBE with a Hubbard U) data for an optimized crystal structure of CeV3B4O12, as listed in the Alexandria database.

Geometry as extended XYZ:
```
20
Lattice="6.1862 0.0174 0.0242 -1.4736 6.0082 0.0242 -1.4736 -1.8842 5.7051" Properties=species:S:1:pos:R:3 pbc="T T T"
Ce 0.0000 0.0000 0.0000
V 2.7630 2.6947 0.0242
V 1.9496 -1.0344 3.1663
V -1.4736 2.4810 2.5630
B 5.0340 -0.5999 2.8767
B -1.7951 1.2230 5.4091
B 1.6195 5.5889 0.3443
B 1.6195 2.0707 2.8767
O 1.6195 0.9418 3.6893
O 4.7723 2.8534 0.5384
O -1.5334 4.5365 2.8767
O 1.6195 -1.1779 5.2150
O 0.5681 5.4369 1.2228
O -0.6865 0.4149 5.5438
O 5.1398 0.5687 2.1532
O 2.6709 4.7076 0.2096
O -1.9009 2.2800 4.5307
O 3.9254 -0.9841 3.6003
O 2.7151 2.3427 2.0642
O 0.5238 2.9275 2.8767
```

Electronic total energy = -0.3003 hartree per atom
D(E_F) = 0.426 states/eV per atom